# La8PmIn2

A relaxed structure of La8PmIn2 (PBE-GGA, Alexandria).

Values from the calculation:
DFT total energy = -4.639 eV/atom
Formation energy = -0.1259 eV per atom
Distance to the lowest polymorph of the same formula = 14.0 meV/atom

```
data_La8PmIn2
_chemical_formula_sum 'La8 Pm1 In2'
_cell_length_a 9.571
_cell_length_b 9.571
_cell_length_c 6.324
_cell_angle_alpha 102.92
_cell_angle_beta 102.92
_cell_angle_gamma 42.66
_symmetry_space_group_name_H-M 'P 1'
_symmetry_Int_Tables_number 1
loop_
_symmetry_equiv_pos_as_xyz
'x,y,z'
loop_
_atom_site_label
_atom_site_type_symbol
_atom_site_fract_x
_atom_site_fract_y
_atom_site_fract_z
La1 La 0.001 0.001 0.238
La2 La 0.061 0.592 0.395
La3 La 0.368 0.368 0.929
La4 La 0.408 0.939 0.605
La5 La 0.592 0.061 0.395
La6 La 0.632 0.632 0.071
La7 La 0.939 0.408 0.605
La8 La 0.999 0.999 0.762
Pm1 Pm 0.500 0.500 0.500
In1 In 0.179 0.179 0.102
In2 In 0.821 0.821 0.898
```

=====

# La8Pm6In

A relaxed structure of La8Pm6In (PBE-GGA, Alexandria).

Values from the calculation:
DFT total energy = -4.663 eV/atom
Formation energy = 0.0481 eV per atom

```
data_La8Pm6In
_chemical_formula_sum 'La8 Pm6 In1'
_cell_length_a 9.450
_cell_length_b 9.450
_cell_length_c 6.806
_cell_angle_alpha 90.00
_cell_angle_beta 90.00
_cell_angle_gamma 120.00
_symmetry_space_group_name_H-M 'P 1'
_symmetry_Int_Tables_number 1
loop_
_symmetry_equiv_pos_as_xyz
'x,y,z'
loop_
_atom_site_label
_atom_site_type_symbol
_atom_site_fract_x
_atom_site_fract_y
_atom_site_fract_z
La1 La 0.046 0.770 0.326
La2 La 0.230 0.276 0.326
La3 La 0.276 0.046 0.674
La4 La 0.333 0.667 0.376
La5 La 0.667 0.333 0.624
La6 La 0.724 0.954 0.326
La7 La 0.770 0.724 0.674
La8 La 0.954 0.230 0.674
Pm1 Pm 0.095 0.655 0.844
Pm2 Pm 0.345 0.440 0.844
Pm3 Pm 0.440 0.095 0.156
Pm4 Pm 0.560 0.905 0.844
Pm5 Pm 0.655 0.560 0.156
Pm6 Pm 0.905 0.345 0.156
In1 In 0.000 0.000 0.000
```

=====

# La3PmIn3

A relaxed structure of La3PmIn3 (PBE-GGA, Alexandria).

Values from the calculation:
DFT total energy = -4.321 eV/atom
Formation energy = -0.3570 eV per atom
Distance to the lowest polymorph of the same formula = 4.2 meV/atom

```
data_La3PmIn3
_chemical_formula_sum 'La6 Pm2 In6'
_cell_length_a 7.862
_cell_length_b 7.862
_cell_length_c 7.458
_cell_angle_alpha 90.00
_cell_angle_beta 90.00
_cell_angle_gamma 91.27
_symmetry_space_group_name_H-M 'P 1'
_symmetry_Int_Tables_number 1
loop_
_symmetry_equiv_pos_as_xyz
'x,y,z'
loop_
_atom_site_label
_atom_site_type_symbol
_atom_site_fract_x
_atom_site_fract_y
_atom_site_fract_z
La1 La 0.232 0.232 0.500
La2 La 0.241 0.241 0.000
La3 La 0.249 0.751 0.000
La4 La 0.751 0.249 0.000
La5 La 0.759 0.759 0.000
La6 La 0.768 0.768 0.500
Pm1 Pm 0.247 0.753 0.500
Pm2 Pm 0.753 0.247 0.500
In1 In 0.000 0.500 0.259
In2 In 0.000 0.500 0.741
In3 In 0.500 0.000 0.259
In4 In 0.500 0.000 0.741
In5 In 0.500 0.500 0.264
In6 In 0.500 0.500 0.736
```

=====

# LaPm9In2

A relaxed structure of LaPm9In2 (PBE-GGA, Alexandria).

Values from the calculation:
DFT total energy = -4.595 eV/atom
Formation energy = -0.1651 eV per atom

```
data_LaPm9In2
_chemical_formula_sum 'La1 Pm9 In2'
_cell_length_a 4.986
_cell_length_b 4.986
_cell_length_c 15.406
_cell_angle_alpha 90.00
_cell_angle_beta 90.00
_cell_angle_gamma 90.00
_symmetry_space_group_name_H-M 'P 1'
_symmetry_Int_Tables_number 1
loop_
_symmetry_equiv_pos_as_xyz
'x,y,z'
loop_
_atom_site_label
_atom_site_type_symbol
_atom_site_fract_x
_atom_site_fract_y
_atom_site_fract_z
La1 La 0.000 0.000 0.000
Pm1 Pm 0.000 0.500 0.177
Pm2 Pm 0.000 0.500 0.500
Pm3 Pm 0.000 0.500 0.823
Pm4 Pm 0.500 0.000 0.177
Pm5 Pm 0.500 0.000 0.500
Pm6 Pm 0.500 0.000 0.823
Pm7 Pm 0.500 0.500 0.000
Pm8 Pm 0.500 0.500 0.341
Pm9 Pm 0.500 0.500 0.659
In1 In 0.000 0.000 0.339
In2 In 0.000 0.000 0.661
```